Entry 1:
Computed, not measured: a relaxed Ta2ReTc crystal at the GGA-PBE level of DFT.

For the formation energy, the calculation gives 1.7 kcal/mol of atoms.

The structure in CIF format:
```
data_Ta2ReTc
_cell_length_a 5.916
_cell_length_b 7.896
_cell_length_c 5.784
_cell_angle_alpha 90.00
_cell_angle_beta 90.00
_cell_angle_gamma 90.00
_symmetry_space_group_name_H-M 'P 1'
_symmetry_Int_Tables_number 1
_symmetry_space_group_name_Hall 'P 1'
loop_
_atom_site_label
_atom_site_fract_x
_atom_site_fract_y
_atom_site_fract_z
_atom_site_occupancy
Re1 0.202 0.750 0.023 1
Re2 0.702 0.250 0.477 1
Re3 0.298 0.750 0.523 1
Re4 0.798 0.250 0.977 1
Ta1 0.044 0.028 0.248 1
Ta2 0.044 0.472 0.248 1
Ta3 0.544 0.528 0.252 1
Ta4 0.544 0.972 0.252 1
Ta5 0.456 0.028 0.748 1
Ta6 0.456 0.472 0.748 1
Ta7 0.956 0.528 0.752 1
Ta8 0.956 0.972 0.752 1
Tc1 0.337 0.250 0.100 1
Tc2 0.837 0.750 0.400 1
Tc3 0.163 0.250 0.600 1
Tc4 0.663 0.750 0.900 1
```

***

Entry 2:
Computed, not measured: a relaxed TmTaRe crystal at the GGA-PBE level of DFT.

For the formation energy, the calculation gives 37.8 kcal/mol of atoms.

The structure in CIF format:
```
data_TmTaRe
_cell_length_a 4.518
_cell_length_b 4.518
_cell_length_c 4.518
_cell_angle_alpha 60.00
_cell_angle_beta 60.00
_cell_angle_gamma 60.00
_symmetry_space_group_name_H-M 'P 1'
_symmetry_Int_Tables_number 1
_symmetry_space_group_name_Hall 'P 1'
loop_
_atom_site_label
_atom_site_fract_x
_atom_site_fract_y
_atom_site_fract_z
_atom_site_occupancy
Re1 0.250 0.250 0.250 1
Ta1 0.750 0.750 0.750 1
Tm1 0.000 0.000 0.000 1
```

***

Entry 3:
Computed, not measured: a relaxed Ta2ReW2 crystal at the GGA-PBE level of DFT.

For the formation energy, the calculation gives 20.9 kcal/mol of atoms.

The structure in CIF format:
```
data_Ta2ReW2
_cell_length_a 7.581
_cell_length_b 7.581
_cell_length_c 7.581
_cell_angle_alpha 152.99
_cell_angle_beta 152.99
_cell_angle_gamma 38.58
_symmetry_space_group_name_H-M 'P 1'
_symmetry_Int_Tables_number 1
_symmetry_space_group_name_Hall 'P 1'
loop_
_atom_site_label
_atom_site_fract_x
_atom_site_fract_y
_atom_site_fract_z
_atom_site_occupancy
Re1 0.000 0.000 0.000 1
Ta1 0.406 0.406 0.000 1
Ta2 0.594 0.594 0.000 1
W1 0.750 0.250 0.500 1
W2 0.250 0.750 0.500 1
```